{
  "formula": "U5Se5N2",
  "functional": "PBE",
  "state": "optimized geometry",
  "lattice": [[6.476, -1.904, 0.000], [6.476, 1.904, 0.000], [-2.798, 0.000, 10.406]],
  "species": ["U", "U", "U", "U", "U", "Se", "Se", "Se", "Se", "Se", "N", "N"],
  "frac_coords": [[0.000, 0.000, 0.000], [0.097, 0.097, 0.365], [0.347, 0.347, 0.205], [0.653, 0.653, 0.795], [0.903, 0.903, 0.635], [0.234, 0.234, 0.631], [0.334, 0.334, 0.927], [0.500, 0.500, 0.500], [0.666, 0.666, 0.073], [0.766, 0.766, 0.369], [0.043, 0.043, 0.809], [0.957, 0.957, 0.191]],
  "mass_density_kg_m3": 10439,
  "crystal_system": "monoclinic",
  "e_form_raw_ev_per_fu": -13.7,
  "space_group": "No. 12"
}